Record 1
The following is a GGA-PBE calculation of an optimized crystal structure of PaIn5Co, from the Alexandria database.

Lattice parameters (Å, degrees): 4.6166 4.6166 7.4357 90.00 90.00 90.00
Atoms (fractional coordinates):
Pa: 0.0000 0.0000 0.0000
In: 0.0000 0.5000 0.3059
In: 0.0000 0.5000 0.6941
In: 0.5000 0.0000 0.3059
In: 0.5000 0.0000 0.6941
In: 0.5000 0.5000 0.0000
Co: 0.0000 0.0000 0.5000



Record 2
The following is a GGA-PBE calculation of an optimized crystal structure of Pa2InCo, from the Alexandria database.

Lattice parameters (Å, degrees): 10.3238 10.3238 10.3238 18.80 18.80 18.80
Atoms (fractional coordinates):
Pa: 0.1089 0.1089 0.1089
Pa: 0.8911 0.8911 0.8911
In: 0.0000 0.0000 0.0000
Co: 0.5000 0.5000 0.5000



Record 3
The following is a GGA-PBE calculation of an optimized crystal structure of Pa2In2Co3, from the Alexandria database.

Lattice parameters (Å, degrees): 6.3681 6.3681 5.0131 94.80 94.80 41.30
Atoms (fractional coordinates):
Pa: 0.1530 0.1530 0.3374
Pa: 0.8470 0.8470 0.6626
In: 0.4190 0.4190 0.2045
In: 0.5810 0.5810 0.7955
Co: 0.0000 0.0000 0.0000
Co: 0.2050 0.2050 0.7937
Co: 0.7950 0.7950 0.2063



no.,raw total energy (eV/atom)
1,-4.4367
2,-7.0527
3,-6.8453